Entry 1:
## BeZnCuAu (PBE-GGA)

Data for a relaxed BeZnCuAu crystal.

formation energy from the elements	-0.116	eV/atom

Lattice parameters (Å, degrees): 2.939 2.939 6.052 90.00 90.00 90.00
Space group P4mm (No. 99)
Asymmetric unit:
Be  0.000  0.000  0.000
Zn  0.000  0.000  0.557
Cu  0.500  0.500  0.803
Au  0.500  0.500  0.244

---

Entry 2:
## BeZn2CuAu4 (PBE-GGA)

Data for a relaxed BeZn2CuAu4 crystal.

formation energy from the elements	-0.134	eV/atom

Lattice parameters (Å, degrees): 4.4455 4.4455 21.3357 90.00 90.00 120.00
Space group R-3m (No. 166, hexagonal axes)
Asymmetric unit:
Be  0.0000  0.0000  0.0000
Zn  0.0000  0.0000  0.2433
Cu  0.0000  0.0000  0.5000
Au  0.0000  0.0000  0.1166
Au  0.0000  0.0000  0.3695

---

Entry 3:
## DyBeAu (PBE-GGA)

Data for a relaxed DyBeAu crystal.

formation energy from the elements	-0.513	eV/atom

Lattice parameters (Å, degrees): 4.2061 4.2061 3.7714 90.00 90.00 120.00
Space group P-6m2 (No. 187)
Asymmetric unit:
Dy  0.0000  0.0000  0.0000
Be  0.3333  0.6667  0.5000
Au  0.6667  0.3333  0.5000

---

Entry 4:
## Dy2Be7Au12 (PBE-GGA)

Data for a relaxed Dy2Be7Au12 crystal.

formation energy from the elements	-0.321	eV/atom

Lattice parameters (Å, degrees): 9.8977 9.8977 3.9762 90.00 90.00 120.00
Space group P-3 (No. 147)
Asymmetric unit:
Dy  0.3333  0.6667  0.2525
Be  0.0000  0.0000  0.0000
Be  0.1125  0.7130  0.7525
Au  0.0803  0.4593  0.7494
Au  0.1197  0.2597  0.2521

---

Entry 5:
## DyBe3Au10 (PBE-GGA)

Data for a relaxed DyBe3Au10 crystal.

formation energy from the elements	-0.274	eV/atom

Lattice parameters (Å, degrees): 12.411 12.411 12.411 90.00 90.00 90.00
Space group Fm-3m (No. 225)
Asymmetric unit:
Dy  0.250  0.250  0.250
Be  0.000  0.000  0.236
Au  0.000  0.169  0.331
Au  0.114  0.114  0.114

---

Entry 6:
## DyBe5Au7 (PBE-GGA)

Data for a relaxed DyBe5Au7 crystal.

formation energy from the elements	-0.290	eV/atom

Lattice parameters (Å, degrees): 5.030 8.790 8.877 90.00 90.00 90.00
Space group Imm2 (No. 44)
Asymmetric unit:
Dy  0.000  0.000  0.000
Be  0.000  0.500  0.260
Be  0.246  0.247  0.735
Au  0.000  0.000  0.341
Au  0.000  0.000  0.672
Au  0.000  0.308  0.461
Au  0.000  0.339  0.018
Au  0.000  0.500  0.719

---

Entry 7:
## DyBeAu3 (PBE-GGA)

Data for a relaxed DyBeAu3 crystal.

formation energy from the elements	-0.489	eV/atom

Lattice parameters (Å, degrees): 6.6272 6.6272 7.4392 90.00 90.00 120.00
Space group R3m (No. 160, hexagonal axes)
Asymmetric unit:
Dy  0.0000  0.0000  0.0000
Be  0.0000  0.0000  0.4083
Au  0.1881  0.3762  0.3067

---

Entry 8:
## Dy3Be5Au12 (PBE-GGA)

Data for a relaxed Dy3Be5Au12 crystal.

formation energy from the elements	-0.182	eV/atom

Lattice parameters (Å, degrees): 14.852 14.852 14.852 90.00 90.00 90.00
Space group Ia-3d (No. 230)
Asymmetric unit:
Dy  0.000  0.250  0.125
Be  0.000  0.000  0.000
Be  0.000  0.250  0.375
Au  0.037  0.057  0.639

---

Entry 9:
## DyBeAu (PBE-GGA)

Data for a relaxed DyBeAu crystal.

formation energy from the elements	-0.514	eV/atom

Lattice parameters (Å, degrees): 7.056 4.345 7.250 90.00 90.00 90.00
Space group Pnma (No. 62)
Asymmetric unit:
Dy  0.001  0.250  0.203
Be  0.181  0.250  0.578
Au  0.204  0.750  0.410

---

Entry 10:
## DyBe2GaAu4 (PBE-GGA)

Data for a relaxed DyBe2GaAu4 crystal.

formation energy from the elements	-0.288	eV/atom

Lattice parameters (Å, degrees): 4.1126 4.1126 29.0038 90.00 90.00 120.00
Space group R-3m (No. 166, hexagonal axes)
Asymmetric unit:
Dy  0.0000  0.0000  0.0000
Be  0.0000  0.0000  0.2511
Ga  0.0000  0.0000  0.5000
Au  0.0000  0.0000  0.1214
Au  0.0000  0.0000  0.3968

---

Entry 11:
## Dy2BeGa3Au4 (PBE-GGA)

Data for a relaxed Dy2BeGa3Au4 crystal.

formation energy from the elements	-0.536	eV/atom

Lattice parameters (Å, degrees): 4.305 4.305 10.429 90.00 90.00 90.00
Space group P-4m2 (No. 115)
Asymmetric unit:
Dy  0.000  0.500  0.239
Be  0.500  0.500  0.000
Ga  0.000  0.000  0.000
Ga  0.000  0.500  0.640
Au  0.000  0.000  0.500
Au  0.000  0.500  0.878
Au  0.500  0.500  0.500

---

Entry 12:
## DyBeGa2Au5 (PBE-GGA)

Data for a relaxed DyBeGa2Au5 crystal.

formation energy from the elements	-0.278	eV/atom

Lattice parameters (Å, degrees): 4.483 6.063 13.066 90.00 90.00 90.00
Space group Immm (No. 71)
Asymmetric unit:
Dy  0.000  0.000  0.000
Be  0.000  0.000  0.500
Ga  0.000  0.500  0.199
Au  0.000  0.263  0.365
Au  0.000  0.500  0.000

---

Entry 13:
## DyMgBeAu (PBE-GGA)

Data for a relaxed DyMgBeAu crystal.

formation energy from the elements	-0.311	eV/atom

Lattice parameters (Å, degrees): 6.747 6.747 6.747 90.00 90.00 90.00
Space group F-43m (No. 216)
Asymmetric unit:
Dy  0.000  0.000  0.000
Mg  0.000  0.000  0.500
Be  0.250  0.250  0.750
Au  0.250  0.250  0.250

---

Entry 14:
## PmDyBeAu (PBE-GGA)

Data for a relaxed PmDyBeAu crystal.

formation energy from the elements	-0.289	eV/atom

Lattice parameters (Å, degrees): 7.164 7.164 7.164 90.00 90.00 90.00
Space group F-43m (No. 216)
Asymmetric unit:
Pm  0.000  0.000  0.000
Dy  0.000  0.000  0.500
Be  0.250  0.250  0.250
Au  0.250  0.250  0.750

---

Entry 15:
## TbDyBeAu (PBE-GGA)

Data for a relaxed TbDyBeAu crystal.

formation energy from the elements	-0.329	eV/atom

Lattice parameters (Å, degrees): 7.078 7.078 7.078 90.00 90.00 90.00
Space group F-43m (No. 216)
Asymmetric unit:
Tb  0.000  0.000  0.000
Dy  0.000  0.000  0.500
Be  0.250  0.250  0.250
Au  0.250  0.250  0.750

---

Entry 16:
## DyTmBeAu (PBE-GGA)

Data for a relaxed DyTmBeAu crystal.

formation energy from the elements	-0.351	eV/atom

Lattice parameters (Å, degrees): 7.010 7.010 7.010 90.00 90.00 90.00
Space group F-43m (No. 216)
Asymmetric unit:
Dy  0.000  0.000  0.000
Tm  0.000  0.000  0.500
Be  0.250  0.250  0.750
Au  0.250  0.250  0.250

---

Entry 17:
## Dy2Be3ZnAu4 (PBE-GGA)

Data for a relaxed Dy2Be3ZnAu4 crystal.

formation energy from the elements	-0.463	eV/atom

Lattice parameters (Å, degrees): 4.305 4.305 9.380 90.00 90.00 90.00
Space group P-4m2 (No. 115)
Asymmetric unit:
Dy  0.000  0.500  0.249
Be  0.000  0.000  0.000
Be  0.000  0.500  0.612
Zn  0.500  0.500  0.000
Au  0.000  0.000  0.500
Au  0.000  0.500  0.855
Au  0.500  0.500  0.500